Record 1
! Ac2NdTe (PBE, relaxed); values from VASP
&SYSTEM
  ibrav = 0, nat = 4, ntyp = 3
/
ATOMIC_SPECIES
Ac 227.00 Ac.upf
Nd 144.24 Nd.upf
Te 127.60 Te.upf
ATOMIC_POSITIONS crystal
Ac 0.0000 0.0000 0.7198
Ac 0.0000 0.0000 0.2802
Nd 0.5000 0.5000 0.0000
Te 0.5000 0.5000 0.5000
CELL_PARAMETERS angstrom
-0.0272 -1.6384 3.7442
3.9863 -0.8363 -0.3370
2.0357 8.2437 3.6223
! - DFT total energy: -18.4 eV per formula unit
! - Symmetry: P4/mmm, No. 123
! - D(E_F): 4.18 states/eV/f.u.
! - Formation energy from raw total energies: -2.275 eV per formula unit
! - M_tot: 0.000 μB per formula unit
! - Polymorph energy (0 for the lowest one): 0.0000 eV/atom


Record 2
! Ac5Nd3Te8 (PBE, relaxed); values from VASP
&SYSTEM
  ibrav = 0, nat = 16, ntyp = 3
/
ATOMIC_SPECIES
Nd 144.24 Nd.upf
Te 127.60 Te.upf
Ac 227.00 Ac.upf
ATOMIC_POSITIONS crystal
Nd 0.0000 0.0000 0.5000
Nd 0.5000 0.0000 0.5000
Nd 0.0000 0.5000 0.5000
Te 0.2500 0.2500 0.7401
Te 0.2500 0.7599 0.7401
Te 0.7599 0.2500 0.7401
Te 0.7500 0.7500 0.2599
Te 0.7500 0.2401 0.2599
Te 0.7547 0.7547 0.7359
Te 0.2453 0.2453 0.2641
Te 0.2401 0.7500 0.2599
Ac 0.0000 0.5000 0.0000
Ac 0.5000 0.5000 0.0000
Ac 0.5000 0.5000 0.5000
Ac 0.5000 0.0000 0.0000
Ac 0.0000 0.0000 0.0000
CELL_PARAMETERS angstrom
8.0725 0.0000 4.6240
2.7119 7.6033 4.6240
0.0425 0.0300 9.2842
! - DFT total energy: -83.3 eV per formula unit
! - Symmetry: R-3m, No. 166
! - D(E_F): 11.55 states/eV/f.u.
! - Formation energy from raw total energies: -23.307 eV per formula unit
! - M_tot: 0.000 μB per formula unit


Record 3
! Ac5Nd2Te12 (PBE, relaxed); values from VASP
&SYSTEM
  ibrav = 0, nat = 19, ntyp = 3
/
ATOMIC_SPECIES
Nd 144.24 Nd.upf
Te 127.60 Te.upf
Ac 227.00 Ac.upf
ATOMIC_POSITIONS crystal
Nd 0.7495 0.0000 0.0000
Nd 0.2505 0.0000 0.0000
Te 0.8994 0.2972 0.5633
Te 0.6022 0.7028 0.4367
Te 0.9527 0.9054 0.7852
Te 0.9369 0.3639 0.0733
Te 0.3978 0.2972 0.5633
Te 0.0473 0.0946 0.2148
Te 0.4888 0.9776 0.7771
Te 0.4270 0.3639 0.0733
Te 0.1006 0.7028 0.4367
Te 0.5730 0.6361 0.9267
Te 0.5112 0.0224 0.2229
Te 0.0631 0.6361 0.9267
Ac 0.7055 0.4110 0.3490
Ac 0.3254 0.6507 0.1934
Ac 0.6746 0.3493 0.8066
Ac 0.0000 0.0000 0.5000
Ac 0.2945 0.5890 0.6510
CELL_PARAMETERS angstrom
8.6916 0.0000 0.0000
-4.3458 8.9372 0.3355
0.0000 -2.7675 10.0479
! - DFT total energy: -92.7 eV per formula unit
! - Symmetry: C2/m, No. 12
! - D(E_F): 4.75 states/eV/f.u.
! - Formation energy from raw total energies: -24.893 eV per formula unit
! - M_tot: 0.000 μB per formula unit


Record 4
! Ac3Nd4Te8 (PBE, relaxed); values from VASP
&SYSTEM
  ibrav = 0, nat = 15, ntyp = 3
/
ATOMIC_SPECIES
Te 127.60 Te.upf
Ac 227.00 Ac.upf
Nd 144.24 Nd.upf
ATOMIC_POSITIONS crystal
Te 0.0000 0.2503 0.7497
Te 0.0090 0.7537 0.7537
Te 0.0000 0.7497 0.2503
Te 0.5003 0.7550 0.7550
Te 0.5000 0.2453 0.7547
Te 0.4997 0.2450 0.2450
Te 0.9910 0.2463 0.2463
Te 0.5000 0.7547 0.2453
Ac 0.5000 0.5000 0.0000
Ac 0.5000 0.5000 0.5000
Ac 0.5000 0.0000 0.5000
Nd 0.0000 0.0000 0.0000
Nd 0.0000 0.0000 0.5000
Nd 0.0000 0.5000 0.0000
Nd 0.5000 0.0000 0.0000
CELL_PARAMETERS angstrom
-5.8038 2.6727 -6.5300
7.4277 -4.9577 -2.2363
-2.5433 -6.5121 5.9895
! - DFT total energy: -78.6 eV per formula unit
! - Symmetry: C2/m, No. 12
! - D(E_F): 7.78 states/eV/f.u.
! - Formation energy from raw total energies: -22.092 eV per formula unit
! - M_tot: 0.000 μB per formula unit


Record 5
! Ac2Nd3ThTe6 (PBE, relaxed); values from VASP
&SYSTEM
  ibrav = 0, nat = 12, ntyp = 4
/
ATOMIC_SPECIES
Te 127.60 Te.upf
Nd 144.24 Nd.upf
Ac 227.00 Ac.upf
Th 232.04 Th.upf
ATOMIC_POSITIONS crystal
Te 0.6652 0.5928 0.3303
Te 0.0063 0.7534 0.0126
Te 0.3348 0.4072 0.6697
Te 0.9937 0.2466 0.9874
Te 0.3346 0.9265 0.6693
Te 0.6654 0.0735 0.3307
Nd 0.8305 0.1615 0.6609
Nd 0.5000 0.5000 0.0000
Nd 0.1695 0.8385 0.3391
Ac 0.1631 0.3297 0.3262
Ac 0.8369 0.6703 0.6738
Th 0.5000 0.0000 0.0000
CELL_PARAMETERS angstrom
4.5582 0.0000 0.0000
0.0000 9.1700 0.2745
-2.2791 -2.6976 9.6115
! - DFT total energy: -65.1 eV per formula unit
! - Symmetry: C2/m, No. 12
! - D(E_F): 8.19 states/eV/f.u.
! - Formation energy from raw total energies: -16.323 eV per formula unit
! - M_tot: 0.000 μB per formula unit


Record 6
! AcNd2TmTe5 (PBE, relaxed); values from VASP
&SYSTEM
  ibrav = 0, nat = 9, ntyp = 4
/
ATOMIC_SPECIES
Tm 168.93 Tm.upf
Te 127.60 Te.upf
Ac 227.00 Ac.upf
Nd 144.24 Nd.upf
ATOMIC_POSITIONS crystal
Tm 0.0000 0.0000 0.5000
Te 0.0000 0.5000 0.5000
Te 0.0000 0.0000 0.2576
Te 0.5000 0.0000 0.5000
Te 0.5000 0.5000 0.0000
Te 0.0000 0.0000 0.7424
Ac 0.0000 0.0000 0.0000
Nd 0.5000 0.5000 0.3507
Nd 0.5000 0.5000 0.6493
CELL_PARAMETERS angstrom
5.4964 0.0000 0.0000
0.0000 5.4964 0.0000
0.0000 0.0000 12.1884
! - DFT total energy: -42.2 eV per formula unit
! - Symmetry: P4/mmm, No. 123
! - D(E_F): 4.21 states/eV/f.u.
! - Formation energy from raw total energies: -8.418 eV per formula unit
! - M_tot: 0.186 μB per formula unit


Record 7
! Ac3Nd2YTe6 (PBE, relaxed); values from VASP
&SYSTEM
  ibrav = 0, nat = 12, ntyp = 4
/
ATOMIC_SPECIES
Nd 144.24 Nd.upf
Te 127.60 Te.upf
Y 88.91 Y.upf
Ac 227.00 Ac.upf
ATOMIC_POSITIONS crystal
Nd 0.1681 0.3356 0.3362
Nd 0.8319 0.6644 0.6638
Te 0.9978 0.7662 0.9956
Te 0.3410 0.9103 0.6819
Te 0.6590 0.0897 0.3181
Te 0.3308 0.4246 0.6616
Te 0.6692 0.5754 0.3384
Te 0.0022 0.2338 0.0044
Y 0.5000 0.0000 0.0000
Ac 0.5000 0.5000 0.0000
Ac 0.1697 0.8349 0.3395
Ac 0.8303 0.1651 0.6605
CELL_PARAMETERS angstrom
4.5532 0.0000 0.0000
0.0000 9.2733 0.2555
-2.2766 -2.7514 9.6653
! - DFT total energy: -64.4 eV per formula unit
! - Symmetry: C2/m, No. 12
! - D(E_F): 6.89 states/eV/f.u.
! - Formation energy from raw total energies: -17.218 eV per formula unit
! - M_tot: 0.000 μB per formula unit


Record 8
! Ac3NdY2Te6 (PBE, relaxed); values from VASP
&SYSTEM
  ibrav = 0, nat = 12, ntyp = 4
/
ATOMIC_SPECIES
Y 88.91 Y.upf
Ac 227.00 Ac.upf
Nd 144.24 Nd.upf
Te 127.60 Te.upf
ATOMIC_POSITIONS crystal
Y 0.8344 0.6695 0.6689
Y 0.1656 0.3305 0.3311
Ac 0.1635 0.8310 0.3270
Ac 0.5000 0.5000 0.0000
Ac 0.8365 0.1690 0.6730
Nd 0.5000 0.0000 0.0000
Te 0.9928 0.7563 0.9857
Te 0.3270 0.4320 0.6540
Te 0.6730 0.5680 0.3460
Te 0.3348 0.9010 0.6696
Te 0.0072 0.2437 0.0143
Te 0.6652 0.0990 0.3304
CELL_PARAMETERS angstrom
-3.1207 -3.1764 0.6088
2.4457 -3.9482 -8.0630
7.3352 -2.7422 6.7032
! - DFT total energy: -65.9 eV per formula unit
! - Symmetry: C2/m, No. 12
! - D(E_F): 6.29 states/eV/f.u.
! - Formation energy from raw total energies: -16.990 eV per formula unit
! - M_tot: 0.000 μB per formula unit


Record 9
! AcNd3Y2Te6 (PBE, relaxed); values from VASP
&SYSTEM
  ibrav = 0, nat = 12, ntyp = 4
/
ATOMIC_SPECIES
Y 88.91 Y.upf
Te 127.60 Te.upf
Nd 144.24 Nd.upf
Ac 227.00 Ac.upf
ATOMIC_POSITIONS crystal
Y 0.3319 0.6681 0.0000
Y 0.6681 0.3319 0.0000
Te 0.2726 0.2726 0.7625
Te 0.4348 0.0836 0.2520
Te 0.5652 0.9164 0.7480
Te 0.7274 0.7274 0.2375
Te 0.0836 0.4348 0.2520
Te 0.9164 0.5652 0.7480
Nd 0.8472 0.1528 0.5000
Nd 0.5000 0.5000 0.5000
Nd 0.1528 0.8472 0.5000
Ac 0.0000 0.0000 0.0000
CELL_PARAMETERS angstrom
-4.4638 3.4790 -5.3585
0.0852 -7.7707 0.5923
-4.0709 1.7474 6.4154
! - DFT total energy: -66.9 eV per formula unit
! - Symmetry: C2/m, No. 12
! - D(E_F): 6.57 states/eV/f.u.
! - Formation energy from raw total energies: -16.677 eV per formula unit
! - M_tot: 0.000 μB per formula unit


Record 10
! Ac2Nd4Th (PBE, relaxed); values from VASP
&SYSTEM
  ibrav = 0, nat = 7, ntyp = 3
/
ATOMIC_SPECIES
Nd 144.24 Nd.upf
Ac 227.00 Ac.upf
Th 232.04 Th.upf
ATOMIC_POSITIONS crystal
Nd 0.1434 0.1434 0.5699
Nd 0.8566 0.8566 0.4301
Nd 0.7111 0.7111 0.8668
Nd 0.2889 0.2889 0.1332
Ac 0.4282 0.4282 0.7155
Ac 0.5718 0.5718 0.2845
Th 0.0000 0.0000 0.0000
CELL_PARAMETERS angstrom
-0.9525 3.2157 -1.7125
-2.3875 2.3865 1.6689
15.2973 11.7243 9.3665
! - Formation energy from the elements: 0.046 eV/atom
! - DFT total energy: -34.4 eV per formula unit
! - Symmetry: R-3m, No. 166
! - D(E_F): 11.10 states/eV/f.u.
! - M_tot: 0.000 μB per formula unit


Record 11
! AcNdTh2 (PBE, relaxed); values from VASP
&SYSTEM
  ibrav = 0, nat = 4, ntyp = 3
/
ATOMIC_SPECIES
Ac 227.00 Ac.upf
Nd 144.24 Nd.upf
Th 232.04 Th.upf
ATOMIC_POSITIONS crystal
Ac 0.5000 0.5000 0.5000
Nd 0.5000 0.0000 0.0000
Th 0.0000 0.0000 0.5000
Th 0.0000 0.5000 0.0000
CELL_PARAMETERS angstrom
-0.3042 -5.0705 1.5081
4.9705 0.1156 1.3912
-1.3642 1.4946 4.7497
! - Formation energy from the elements: 0.139 eV/atom
! - DFT total energy: -23.2 eV per formula unit
! - Symmetry: P4/mmm, No. 123
! - D(E_F): 6.67 states/eV/f.u.
! - M_tot: 0.000 μB per formula unit
! - Polymorph energy (0 for the lowest one): 0.0182 eV/atom


Record 12
! Ac2NdTh (PBE, relaxed); values from VASP
&SYSTEM
  ibrav = 0, nat = 4, ntyp = 3
/
ATOMIC_SPECIES
Th 232.04 Th.upf
Nd 144.24 Nd.upf
Ac 227.00 Ac.upf
ATOMIC_POSITIONS crystal
Th 0.0000 0.0000 0.0000
Nd 0.5000 0.5000 0.5000
Ac 0.9116 0.9116 0.2653
Ac 0.0884 0.0884 0.7347
CELL_PARAMETERS angstrom
-1.9198 -3.1695 -0.0554
1.5714 -3.0958 -1.2964
4.2899 -4.9709 11.7733
! - Formation energy from the elements: 0.283 eV/atom
! - DFT total energy: -19.3 eV per formula unit
! - Symmetry: R-3m, No. 166
! - D(E_F): 6.56 states/eV/f.u.
! - M_tot: 0.000 μB per formula unit
! - Polymorph energy (0 for the lowest one): 0.1813 eV/atom